[1]
Compound: Pm5Nd2Er
Source: the Alexandria database
Functional: PBE
Structure: optimized geometry

Structure (POSCAR):
```
Pm5Nd2Er
1.0
7.280 0.000 0.000
0.000 14.581 0.000
0.000 0.000 5.134
Pm Nd Er
10 4 2
Cartesian
0.000 0.000 0.000 Pm
0.011 3.662 0.000 Pm
1.814 12.769 2.567 Pm
1.826 5.479 2.567 Pm
3.629 10.952 0.000 Pm
3.640 7.290 0.000 Pm
3.650 3.629 0.000 Pm
5.454 9.102 2.567 Pm
5.466 1.812 2.567 Pm
7.269 10.919 0.000 Pm
1.809 9.101 2.567 Nd
1.831 1.811 2.567 Nd
5.449 12.770 2.567 Nd
5.471 5.480 2.567 Nd
0.000 7.290 0.000 Er
3.640 0.000 0.000 Er
```

## Properties
Formation energy: 0.12 eV per formula unit

---

[2]
Compound: YSbAs2Br
Source: the Alexandria database
Functional: PBE
Structure: optimized geometry

Structure (POSCAR):
```
YSbAs2Br
1.0
5.286 0.000 0.000
0.000 5.286 0.000
0.000 0.000 5.289
Y Sb As Br
1 1 2 1
Cartesian
0.000 0.000 0.000 Y
2.643 2.643 2.644 Sb
0.000 2.643 2.644 As
2.643 0.000 2.644 As
2.643 2.643 0.000 Br
```

## Properties
Energy relative to the elements, uncorrected: 0.7 eV per formula unit

---

[3]
Compound: KCa2Sb
Source: the Alexandria database
Functional: PBE
Structure: optimized geometry

Structure (POSCAR):
```
KCa2Sb
1.0
6.505 -2.242 0.000
6.505 2.242 0.000
-4.165 0.000 6.163
K Ca Sb
1 2 1
Cartesian
0.000 0.000 0.000 K
5.685 0.000 3.916 Ca
9.421 0.000 1.904 Ca
-0.533 0.000 6.068 Sb
```

## Properties
Energy relative to the elements, uncorrected: -1.4 eV per formula unit

---

[4]
Compound: Th2BeSi4Rh3
Source: the Alexandria database
Functional: PBE
Structure: optimized geometry

Structure (POSCAR):
```
Th2BeSi4Rh3
1.0
4.156 0.000 0.000
0.000 4.156 0.000
0.000 0.000 9.929
Th Be Si Rh
2 1 4 3
Cartesian
0.000 2.078 2.486 Th
2.078 0.000 7.443 Th
0.000 0.000 4.964 Be
0.000 0.000 0.000 Si
0.000 2.078 6.252 Si
2.078 0.000 3.677 Si
2.078 2.078 0.000 Si
0.000 2.078 8.686 Rh
2.078 0.000 1.242 Rh
2.078 2.078 4.964 Rh
```

## Properties
Energy relative to the elements, uncorrected: -9.1 eV per formula unit

---

[5]
Compound: Li6Ac2Ge3
Source: the Alexandria database
Functional: PBE
Structure: optimized geometry

Structure (POSCAR):
```
Li6Ac2Ge3
1.0
8.214 0.000 0.000
-4.107 7.113 0.000
0.000 0.000 4.313
Li Ac Ge
6 2 3
Cartesian
-0.842 1.459 0.000 Li
-2.921 5.060 2.156 Li
1.685 0.000 0.000 Li
1.186 2.054 2.156 Li
5.842 0.000 2.156 Li
3.265 5.655 0.000 Li
0.000 4.742 0.000 Ac
4.107 2.371 0.000 Ac
-1.526 2.644 2.156 Ge
3.053 0.000 2.156 Ge
2.581 4.470 2.156 Ge
```

## Properties
Formation energy: -4.13 eV per formula unit

---

[6]
Compound: La3Al5S12
Source: the Alexandria database
Functional: PBE
Structure: optimized geometry

Structure (POSCAR):
```
La3Al5S12
1.0
-7.612 7.612 7.612
7.612 -7.612 7.612
7.612 7.612 -7.612
La Al S
12 20 48
Cartesian
3.806 1.903 0.000 La
7.612 3.806 -1.903 La
1.903 0.000 3.806 La
9.514 0.000 3.806 La
0.000 3.806 1.903 La
3.806 -1.903 7.612 La
3.806 9.514 0.000 La
7.612 3.806 5.709 La
-1.903 7.612 3.806 La
5.709 7.612 3.806 La
0.000 3.806 9.514 La
3.806 5.709 7.612 La
0.000 0.000 0.000 Al
3.806 3.806 -3.806 Al
3.806 -3.806 3.806 Al
7.612 0.000 0.000 Al
11.417 1.903 0.000 Al
7.612 -3.806 5.709 Al
5.709 7.612 -3.806 Al
5.709 0.000 3.806 Al
3.806 5.709 0.000 Al
7.612 3.806 1.903 Al
-3.806 3.806 3.806 Al
0.000 7.612 0.000 Al
0.000 0.000 7.612 Al
3.806 3.806 3.806 Al
0.000 3.806 5.709 Al
3.806 1.903 7.612 Al
1.903 7.612 3.806 Al
1.903 0.000 11.417 Al
0.000 11.417 1.903 Al
-3.806 5.709 7.612 Al
2.247 -0.471 0.828 S
9.170 4.634 -4.277 S
9.859 0.471 0.828 S
9.170 -2.978 4.277 S
7.140 -0.828 2.247 S
11.889 -1.559 2.978 S
0.828 2.247 -0.471 S
10.589 3.334 -1.559 S
4.634 4.277 -1.559 S
6.783 2.247 0.471 S
-0.471 0.828 2.247 S
4.277 -1.559 4.634 S
7.140 6.783 -2.247 S
4.277 1.559 2.978 S
4.634 -4.277 9.170 S
6.783 -2.247 7.140 S
2.978 4.277 1.559 S
8.440 5.364 0.471 S
4.277 9.170 -2.978 S
7.140 0.828 5.364 S
2.247 7.140 -0.828 S
9.170 2.978 3.334 S
1.559 2.978 4.277 S
2.247 0.471 6.783 S
5.364 7.140 0.828 S
6.053 4.634 3.334 S
-1.559 4.634 4.277 S
5.364 0.471 8.440 S
0.471 6.783 2.247 S
3.334 -1.559 10.589 S
-0.828 2.247 7.140 S
4.634 3.334 6.053 S
0.828 9.859 0.471 S
2.978 11.889 -1.559 S
3.334 6.053 4.634 S
0.471 0.828 9.859 S
3.334 9.170 2.978 S
8.083 6.783 5.364 S
0.828 5.364 7.140 S
2.978 3.334 9.170 S
-2.978 4.277 9.170 S
6.783 5.364 8.083 S
-4.277 9.170 4.634 S
0.471 8.440 5.364 S
-1.559 10.589 3.334 S
-2.247 7.140 6.783 S
-1.559 2.978 11.889 S
5.364 8.083 6.783 S
```

## Properties
Energy relative to the elements, uncorrected: -30.4 eV per formula unit

---

[7]
Compound: Ce12DyGa6
Source: the Alexandria database
Functional: PBE
Structure: optimized geometry

Structure (POSCAR):
```
Ce12DyGa6
1.0
6.507 3.757 3.530
-6.507 3.757 3.530
0.000 -7.514 3.530
Ce Dy Ga
12 1 6
Cartesian
-2.581 -3.044 3.530 Ce
-3.926 -0.713 3.530 Ce
0.000 -2.027 1.956 Ce
-1.755 1.013 1.956 Ce
1.755 1.013 1.956 Ce
-3.926 0.713 7.060 Ce
-1.346 3.757 3.530 Ce
-2.581 3.044 7.060 Ce
1.346 3.757 3.530 Ce
-1.755 -1.013 8.635 Ce
1.755 -1.013 8.635 Ce
0.000 2.027 8.635 Ce
0.000 0.000 5.295 Dy
-3.644 -2.104 6.223 Ga
0.000 -4.208 4.368 Ga
-3.644 2.104 4.368 Ga
3.644 -2.104 6.223 Ga
0.000 4.208 6.223 Ga
3.644 2.104 4.368 Ga
```

## Properties
Formation energy: -2.40 eV per formula unit

---

[8]
Compound: CaCd3Ni
Source: the Alexandria database
Functional: PBE
Structure: optimized geometry

Structure (POSCAR):
```
CaCd3Ni
1.0
5.946 0.000 0.000
0.000 5.946 0.000
0.000 0.000 5.946
Ca Cd Ni
1 3 1
Cartesian
0.000 0.000 0.000 Ca
0.000 0.000 2.973 Cd
0.000 2.973 0.000 Cd
2.973 0.000 0.000 Cd
2.973 2.973 2.973 Ni
```

## Properties
Formation energy: 5.84 eV per formula unit